# 1
TeI2O, optimized geometry, DFT GGA-PBEsol; raw formation energy = 0.5158 eV/atom; crystal system = tetragonal; total DFT energy (no corrections) = -20.5 eV/cell
1.0
-3.5963 3.5963 5.2334
3.5963 -3.5963 5.2334
3.5963 3.5963 -5.2334
Te I O
2 4 2
Direct
0.3750 0.6250 0.7500
0.6250 0.3750 0.2500
0.0000 0.0000 0.0000
0.0000 0.0000 0.5000
0.0000 0.5000 0.0000
0.5000 0.0000 0.5000
0.1250 0.8750 0.2500
0.8750 0.1250 0.7500

=====

# 2
TeI2O2, optimized geometry, DFT GGA-PBEsol; raw formation energy = 0.4097 eV/atom; crystal system = tetragonal; total DFT energy (no corrections) = -15.5 eV/cell
1.0
5.8788 0.0000 0.0000
0.0000 5.8788 0.0000
0.0000 0.0000 3.9948
Te I O
1 2 2
Direct
0.0000 0.0000 0.0000
0.0000 0.5000 0.0000
0.5000 0.0000 0.0000
0.0000 0.0000 0.5000
0.5000 0.5000 0.5000

=====

# 3
TiTeI2O, optimized geometry, DFT GGA-PBEsol; raw formation energy = 0.2388 eV/atom; crystal system = tetragonal; total DFT energy (no corrections) = -19.4 eV/cell
1.0
6.0049 0.0000 0.0000
0.0000 6.0049 0.0000
0.0000 0.0000 3.9941
Ti Te I O
1 1 2 1
Direct
0.0000 0.0000 0.0000
0.5000 0.5000 0.5000
0.0000 0.5000 0.5000
0.5000 0.0000 0.5000
0.5000 0.5000 0.0000

=====

Copy entry 1 word for word.
TeI2O, optimized geometry, DFT GGA-PBEsol; raw formation energy = 0.5158 eV/atom; crystal system = tetragonal; total DFT energy (no corrections) = -20.5 eV/cell
1.0
-3.5963 3.5963 5.2334
3.5963 -3.5963 5.2334
3.5963 3.5963 -5.2334
Te I O
2 4 2
Direct
0.3750 0.6250 0.7500
0.6250 0.3750 0.2500
0.0000 0.0000 0.0000
0.0000 0.0000 0.5000
0.0000 0.5000 0.0000
0.5000 0.0000 0.5000
0.1250 0.8750 0.2500
0.8750 0.1250 0.7500

=====

- What is the raw formation energy in the second record?
  0.4097 eV/atom

=====

- The highest raw formation energy belongs to which entry?
  TeI2O

=====

- What is the formula in the first record?
  TeI2O